#P
Density functional theory data (PBE) for a geometry-optimized Sc2SiSb structure.

abc: 4.9188 4.9188 4.9188
angles: 60.00 60.00 60.00
With the nearest neighbours (Å) after each atom.
Fractional positions:
Si 0.7500 0.7500 0.7500  4 Sc 3.01, 4 Sb 3.01
Sc 0.2500 0.2500 0.2500  4 Sb 3.01, 4 Sc 3.01
Sc 0.0000 0.0000 0.0000  4 Si 3.01, 4 Sc 3.01
Sb 0.5000 0.5000 0.5000  4 Sc 3.01, 4 Si 3.01

Results
Its space group is No. 216. The value obtained for the volume is 21.04 Å³ per atom.



#Q
Density functional theory data (PBE) for a geometry-optimized Sc2SiSb structure.

abc: 4.0457 4.4922 4.4922
angles: 90.00 90.00 90.00
With the nearest neighbours (Å) after each atom.
Fractional positions:
Sc 0.0000 0.0000 0.0000  4 Sb 3.02, 4 Si 3.02, 4 Sc 3.18
Sc 0.0000 0.5000 0.5000  4 Si 3.02, 4 Sb 3.02, 4 Sc 3.18
Sb 0.5000 0.0000 0.5000  8 Sc 3.02, 4 Si 3.18
Si 0.5000 0.5000 0.0000  8 Sc 3.02, 4 Sb 3.18

Results
Its space group is No. 123. The value obtained for the volume is 20.41 Å³ per atom.



#R
Density functional theory data (PBE) for a geometry-optimized Sc2SiSb structure.

abc: 4.7714 4.7714 3.7467
angles: 90.00 90.00 101.67
With the nearest neighbours (Å) after each atom.
Fractional positions:
Sb 0.0000 0.5000 0.5000  2 Si 3.01, 8 Sc 3.03
Sc 0.5000 0.5000 0.0000  2 Sc 3.01, 4 Sb 3.03, 4 Si 3.03
Sc 0.0000 0.0000 0.0000  2 Sc 3.01, 4 Si 3.03, 4 Sb 3.03
Si 0.5000 0.0000 0.5000  2 Sb 3.01, 8 Sc 3.03

Results
Its space group is No. 65. The value obtained for the volume is 20.88 Å³ per atom.



#S
Density functional theory data (PBE) for a geometry-optimized Sc2SiSb structure.

abc: 5.6796 5.6796 5.6796
angles: 138.04 138.02 60.86
With the nearest neighbours (Å) after each atom.
Fractional positions:
Si 0.5001 0.5001 0.0000  8 Sc 2.88-3.18, 4 Sb 3.18
Sc 0.7499 0.2499 0.5000  4 Sb 2.88, 4 Si 3.18, 4 Sc 3.18
Sc 0.0000 0.0000 0.0000  4 Si 2.88, 4 Sb 3.18, 4 Sc 3.18
Sb 0.2501 0.7501 0.5000  8 Sc 2.88-3.18, 4 Si 3.18

Results
Its space group is No. 119. The value obtained for the volume is 20.26 Å³ per atom.



Which of them is most stable, and which least? Most stable: #S; least stable: #P.